The following is a DFT calculation (PBE) of an optimized crystal structure of Pr6Sm3Ho2. Values from VASP.

ΔH_f (0 K) in eV/atom: 0.014
Symmetry: No. 166
Energy relative to the lowest polymorph listed for this composition in eV per formula unit: 0.00

Structure (Quantum ESPRESSO input):
```
&SYSTEM
  ibrav = 0, nat = 11, ntyp = 3
/
ATOMIC_SPECIES
Sm 150.36 Sm.upf
Pr 140.91 Pr.upf
Ho 164.93 Ho.upf
ATOMIC_POSITIONS crystal
Sm 0.000 0.000 0.000
Pr 0.818 0.818 0.547
Pr 0.364 0.364 0.909
Pr 0.909 0.909 0.274
Pr 0.091 0.091 0.726
Sm 0.728 0.728 0.817
Pr 0.636 0.636 0.091
Ho 0.545 0.545 0.364
Ho 0.455 0.455 0.636
Pr 0.182 0.182 0.453
Sm 0.272 0.272 0.183
CELL_PARAMETERS angstrom
3.652 0.000 0.224
1.819 3.166 0.224
-0.181 -0.105 32.828
```



The following is a DFT calculation (PBE) of an optimized crystal structure of CrCo2Ir. Values from VASP.

ΔH_f (0 K) in eV/atom: 0.155
Symmetry: No. 123
Energy relative to the lowest polymorph listed for this composition in eV per formula unit: 0.94

Structure (Quantum ESPRESSO input):
```
&SYSTEM
  ibrav = 0, nat = 4, ntyp = 3
/
ATOMIC_SPECIES
Co 58.93 Co.upf
Ir 192.22 Ir.upf
Cr 52.00 Cr.upf
ATOMIC_POSITIONS crystal
Co 0.000 0.000 0.023
Ir 0.500 0.500 0.750
Co 0.000 0.000 0.477
Cr 0.500 0.500 0.250
CELL_PARAMETERS angstrom
-0.831 -2.460 -1.028
2.235 -0.056 -1.673
3.234 -2.937 4.418
```



- The highest ΔH_f (0 K) belongs to which entry?
  CrCo2Ir